[1]
## Sm6Te5H (GGA-PBE)

Data for a relaxed Sm6Te5H crystal.

Properties
Final energy (eV for the cell shown): -60.91
Symmetry: No. 12

Cell lengths 7.5302, 7.5302, 7.5472 Å; angles 100.04, 100.04, 119.78 degrees
With the nearest neighbours (Å) after each atom.
Fractional positions:
1 Sm 0.0705 0.3683 0.2212  1 H 2.72
2 Sm 0.2300 0.2300 0.7385  1 H 3.05, 5 Te 3.12-3.15
3 Sm 0.3683 0.0705 0.2212  1 H 2.72
4 Sm 0.6317 0.9295 0.7788  1 H 2.72
5 Sm 0.7700 0.7700 0.2615  1 H 3.05, 5 Te 3.12-3.15
6 Sm 0.9295 0.6317 0.7788  1 H 2.72
7 Te 0.1858 0.8142 0.5000  6 Sm 3.13-3.23
8 Te 0.3380 0.6620 0.0000  6 Sm 3.11-3.13
9 Te 0.5000 0.5000 0.5000  6 Sm 3.10-3.15
10 Te 0.6620 0.3380 0.0000  6 Sm 3.11-3.13
11 Te 0.8142 0.1858 0.5000  6 Sm 3.13-3.23
12 H 0.0000 0.0000 0.0000  4 Sm 2.72

[2]
## Tb3Tm12In (GGA-PBE)

Data for a relaxed Tb3Tm12In crystal.

Properties
Symmetry: No. 123
Formation energy from the elements (eV/atom): -0.04

Cell lengths 4.9000, 4.9000, 19.8184 Å; angles 90.00, 90.00, 90.00 degrees
With the nearest neighbours (Å) after each atom.
Fractional positions:
1 Tb 0.0000 0.0000 0.0000  12 Tm 3.46-3.51
2 Tb 0.0000 0.0000 0.2517  12 Tm 3.47-3.52
3 Tb 0.0000 0.0000 0.7483  12 Tm 3.47-3.52
4 Tm 0.0000 0.5000 0.1268  8 Tm 3.46-3.55, 4 Tb 3.48-3.51
5 Tm 0.0000 0.5000 0.3791  8 Tm 3.43-3.46, 2 In 3.43, 2 Tb 3.52
6 Tm 0.0000 0.5000 0.6209  8 Tm 3.43-3.46, 2 In 3.43, 2 Tb 3.52
7 Tm 0.0000 0.5000 0.8732  8 Tm 3.46-3.55, 4 Tb 3.48-3.51
8 Tm 0.5000 0.0000 0.1268  8 Tm 3.46-3.55, 4 Tb 3.48-3.51
9 Tm 0.5000 0.0000 0.3791  8 Tm 3.43-3.46, 2 In 3.43, 2 Tb 3.52
10 Tm 0.5000 0.0000 0.6209  8 Tm 3.43-3.46, 2 In 3.43, 2 Tb 3.52
11 Tm 0.5000 0.0000 0.8732  8 Tm 3.46-3.55, 4 Tb 3.48-3.51
12 Tm 0.5000 0.5000 0.0000  4 Tb 3.46, 8 Tm 3.51
13 Tm 0.5000 0.5000 0.2562  8 Tm 3.45-3.55, 4 Tb 3.47
14 Tm 0.5000 0.5000 0.5000  8 Tm 3.43, 4 In 3.46
15 Tm 0.5000 0.5000 0.7438  8 Tm 3.45-3.55, 4 Tb 3.47
16 In 0.0000 0.0000 0.5000  12 Tm 3.43-3.46